# 1
A plane-wave DFT calculation with PBE was carried out for a relaxed TcAgTe2N crystal.

Uncorrected formation energy, meV per atom: 315
Total magnetic moment, μB/cell: 0.0
Calculated density, g/cm3: 7.2
Energy, eV/atom: -5.25

Cell lengths 5.433, 5.433, 3.706 Å; angles 90.00, 90.00, 90.00 degrees
Space group P4/mmm (No. 123)
One atom of each set of equivalent atoms:
Tc (0.000, 0.000, 0.000)
Ag (0.500, 0.500, 0.500)
Te (0.000, 0.500, 0.000)
N (0.000, 0.000, 0.500)



# 2
A plane-wave DFT calculation with PBE was carried out for a relaxed TlMo6S8 crystal.

Uncorrected formation energy, meV per atom: -655
Total magnetic moment, μB/cell: 0.0
Calculated density, g/cm3: 5.9
Energy, eV/atom: -7.35

Cell lengths 9.2940, 9.2940, 11.7286 Å; angles 90.00, 90.00, 120.00 degrees
Space group R-3 (No. 148, hexagonal axes)
One atom of each set of equivalent atoms:
Tl (0.0000, 0.0000, 0.0000)
Mo (0.0110, 0.1736, 0.4005)
S (0.0000, 0.0000, 0.2465)
S (0.0171, 0.3734, 0.2487)



# 3
A plane-wave DFT calculation with PBE was carried out for a relaxed CaNd2Ga3 crystal.

Total magnetic moment, μB/cell: 0.0
Calculated density, g/cm3: 5.9
Energy, eV/atom: -3.94

Cell lengths 3.650, 3.650, 11.308 Å; angles 90.00, 90.00, 90.00 degrees
Space group P4/mmm (No. 123)
One atom of each set of equivalent atoms:
Ca (0.000, 0.000, 0.000)
Nd (0.000, 0.000, 0.329)
Ga (0.500, 0.500, 0.161)
Ga (0.500, 0.500, 0.500)



# 4
A plane-wave DFT calculation with PBE was carried out for a relaxed NaHoSi2S6 crystal.

Uncorrected formation energy, meV per atom: -1071
Total magnetic moment, μB/cell: 0.0
Calculated density, g/cm3: 3.2
Energy, eV/atom: -5.22

Cell lengths 12.644, 11.479, 6.606 Å; angles 90.00, 107.15, 90.00 degrees
Space group C2/c (No. 15)
One atom of each set of equivalent atoms:
Na (0.000, 0.177, 0.250)
Ho (0.000, 0.382, 0.750)
Si (0.210, 0.084, 0.757)
S (0.114, 0.420, 0.162)
S (0.137, 0.045, 0.010)
S (0.147, 0.248, 0.646)



# 5
A plane-wave DFT calculation with PBE was carried out for a relaxed MgAgHg6 crystal.

Total magnetic moment, μB/cell: 0.0
Calculated density, g/cm3: 10.6
Energy, eV/atom: -0.79

Cell lengths 7.962, 13.429, 5.008 Å; angles 90.00, 128.60, 90.00 degrees
Space group C2/m (No. 12)
One atom of each set of equivalent atoms:
Mg (0.000, 0.000, 0.000)
Ag (0.000, 0.500, 0.500)
Hg (0.249, 0.190, 0.249)
Hg (0.250, 0.000, 0.751)



# 6
A plane-wave DFT calculation with PBE was carried out for a relaxed Er2Pa3Te8 crystal.

Uncorrected formation energy, meV per atom: -910
Total magnetic moment, μB/cell: 9.6
Calculated density, g/cm3: 7.4
Energy, eV/atom: -5.74

Cell lengths 15.652, 8.499, 7.189 Å; angles 90.00, 105.63, 90.00 degrees
Space group C2/m (No. 12)
One atom of each set of equivalent atoms:
Er (0.248, 0.000, 0.325)
Pa (0.000, 0.000, 0.500)
Pa (0.000, 0.233, 0.000)
Te (0.107, 0.500, 0.887)
Te (0.126, 0.255, 0.412)
Te (0.136, 0.000, 0.906)



# 7
A plane-wave DFT calculation with PBE was carried out for a relaxed Pr2TmMg2 crystal.

Total magnetic moment, μB/cell: 0.0
Calculated density, g/cm3: 5.4
Energy, eV/atom: -3.41

Cell lengths 5.246, 7.046, 8.338 Å; angles 90.00, 90.00, 90.00 degrees
Space group Immm (No. 71)
One atom of each set of equivalent atoms:
Pr (0.000, 0.000, 0.194)
Tm (0.000, 0.500, 0.000)
Mg (0.000, 0.289, 0.500)



# 8
A plane-wave DFT calculation with PBE was carried out for a relaxed Ho6Si2GeSe3 crystal.

Uncorrected formation energy, meV per atom: -1320
Total magnetic moment, μB/cell: 0.0
Calculated density, g/cm3: 7.7
Energy, eV/atom: -5.77

Cell lengths 17.943, 4.097, 8.240 Å; angles 90.00, 104.08, 90.00 degrees
Space group C2/m (No. 12)
One atom of each set of equivalent atoms:
Ho (0.003, 0.000, 0.243)
Ho (0.164, 0.500, 0.092)
Ho (0.170, 0.500, 0.575)
Si (0.167, 0.000, 0.333)
Ge (0.000, 0.500, 0.000)
Se (0.000, 0.500, 0.500)
Se (0.167, 0.000, 0.833)



# 9
A plane-wave DFT calculation with PBE was carried out for a relaxed Dy2Ho2Tm3 crystal.

Total magnetic moment, μB/cell: 0.0
Calculated density, g/cm3: 8.9
Energy, eV/atom: -4.49

Cell lengths 3.493, 5.395, 11.879 Å; angles 76.91, 81.60, 90.00 degrees
Space group P-1 (No. 2)
One atom of each set of equivalent atoms:
Dy (0.144, 0.142, 0.216)
Ho (0.419, 0.420, 0.659)
Tm (0.000, 0.000, 0.500)
Tm (0.225, 0.725, 0.050)



# 10
A plane-wave DFT calculation with PBE was carried out for a relaxed CdAgI2O8 crystal.

Uncorrected formation energy, meV per atom: -183
Total magnetic moment, μB/cell: 0.0
Calculated density, g/cm3: 5.2
Energy, eV/atom: -4.06

Cell lengths 7.489, 7.489, 6.878 Å; angles 90.00, 90.00, 90.00 degrees
Space group I-4m2 (No. 119)
One atom of each set of equivalent atoms:
Cd (0.000, 0.000, 0.000)
Ag (0.000, 0.500, 0.750)
I (0.000, 0.000, 0.500)
I (0.000, 0.500, 0.250)
O (0.000, 0.188, 0.672)
O (0.000, 0.307, 0.080)



# 11
A plane-wave DFT calculation with PBE was carried out for a relaxed LiZnBPd2 crystal.

Total magnetic moment, μB/cell: 0.0
Calculated density, g/cm3: 6.9
Energy, eV/atom: -4.27

Cell lengths 4.167, 4.167, 4.121 Å; angles 90.00, 90.00, 90.00 degrees
Space group P4/mmm (No. 123)
One atom of each set of equivalent atoms:
Li (0.000, 0.000, 0.000)
Zn (0.500, 0.500, 0.000)
B (0.500, 0.500, 0.500)
Pd (0.000, 0.500, 0.500)



# 12
A plane-wave DFT calculation with PBE was carried out for a relaxed LiDySi crystal.

Uncorrected formation energy, meV per atom: -581
Total magnetic moment, μB/cell: 0.0
Calculated density, g/cm3: 5.5
Energy, eV/atom: -4.56

Cell lengths 7.034, 4.255, 11.982 Å; angles 90.00, 90.24, 90.00 degrees
Space group P2_1/m (No. 11)
One atom of each set of equivalent atoms:
Li (0.002, 0.250, 0.411)
Li (0.153, 0.750, 0.958)
Li (0.347, 0.250, 0.297)
Dy (0.014, 0.750, 0.196)
Dy (0.336, 0.250, 0.579)
Dy (0.486, 0.250, 0.870)
Si (0.235, 0.250, 0.072)
Si (0.242, 0.750, 0.406)
Si (0.268, 0.750, 0.748)